1.
Crystalline As2AuBr at its relaxed geometry. Source: Alexandria, functional GGA-PBE.

Unit cell a=3.935 b=4.345 c=6.004 alpha=90.00 beta=91.09 gamma=90.00
Space group P2/m (No. 10)
One atom of each set of equivalent atoms:
As  0.230  0.000  0.150 x2
Au  0.500  0.500  0.000 x1
Br  0.000  0.500  0.500 x1

Properties
The raw total energy comes out at -3.538 eV/atom. The calculation puts the offset from the most stable computed form at 57 meV/atom.

***

2.
Crystalline As2AuBr at its relaxed geometry. Source: Alexandria, functional GGA-PBE.

Unit cell a=3.749 b=3.749 c=8.383 alpha=90.00 beta=90.00 gamma=90.00
Space group P4/mmm (No. 123)
One atom of each set of equivalent atoms:
As  0.000  0.500  0.000 x2
Au  0.000  0.000  0.500 x1
Br  0.500  0.500  0.500 x1

Properties
The raw total energy comes out at -3.158 eV/atom. The calculation puts the offset from the most stable computed form at 437 meV/atom.

***

3.
Crystalline AsAuBr3 at its relaxed geometry. Source: Alexandria, functional GGA-PBE.

Unit cell a=5.290 b=5.290 c=5.290 alpha=90.00 beta=90.00 gamma=90.00
Space group Pm-3m (No. 221)
One atom of each set of equivalent atoms:
As  0.000  0.000  0.000 x1
Au  0.500  0.500  0.500 x1
Br  0.000  0.000  0.500 x3

Properties
The raw total energy comes out at -2.332 eV/atom. The calculation puts the offset from the most stable computed form at 0 meV/atom.

***

Q: What is the formula in the second record?
A: As2AuBr

***

Q: Among the records above, which one has the highest offset from the most stable computed form?
A: number 2

***

Repeat the second record exactly.
Crystalline As2AuBr at its relaxed geometry. Source: Alexandria, functional GGA-PBE.

Unit cell a=3.749 b=3.749 c=8.383 alpha=90.00 beta=90.00 gamma=90.00
Space group P4/mmm (No. 123)
One atom of each set of equivalent atoms:
As  0.000  0.500  0.000 x2
Au  0.000  0.000  0.500 x1
Br  0.500  0.500  0.500 x1

Properties
The raw total energy comes out at -3.158 eV/atom. The calculation puts the offset from the most stable computed form at 437 meV/atom.

***

Please write out number 1 again, unchanged.
Crystalline As2AuBr at its relaxed geometry. Source: Alexandria, functional GGA-PBE.

Unit cell a=3.935 b=4.345 c=6.004 alpha=90.00 beta=91.09 gamma=90.00
Space group P2/m (No. 10)
One atom of each set of equivalent atoms:
As  0.230  0.000  0.150 x2
Au  0.500  0.500  0.000 x1
Br  0.000  0.500  0.500 x1

Properties
The raw total energy comes out at -3.538 eV/atom. The calculation puts the offset from the most stable computed form at 57 meV/atom.